1.
{
  "formula": "Y2Hg3Pb",
  "functional": "PBE",
  "state": "relaxed",
  "crystal_system": "hexagonal",
  "formation_enthalpy_0k_mev_per_atom": -384,
  "lattice": [[7.524, 0.000, 0.000], [0.000, 8.482, -4.897], [0.000, 0.000, 9.795]],
  "species": ["Pb", "Hg", "Y", "Pb", "Hg", "Hg", "Pb", "Hg", "Hg", "Hg", "Y", "Y", "Hg", "Hg", "Y", "Y", "Y", "Hg", "Hg", "Y", "Y", "Hg", "Hg", "Pb"],
  "frac_coords": [[0.034, 0.667, 0.333], [0.450, 0.163, 0.326], [0.250, 0.000, 0.000], [0.466, 0.667, 0.333], [0.550, 0.326, 0.163], [0.550, 0.837, 0.674], [0.534, 0.333, 0.667], [0.450, 0.674, 0.837], [0.050, 0.163, 0.326], [0.050, 0.674, 0.837], [0.750, 0.505, 0.495], [0.250, 0.495, 0.990], [0.950, 0.326, 0.163], [0.450, 0.163, 0.837], [0.250, 0.495, 0.505], [0.250, 0.010, 0.505], [0.750, 0.000, 0.000], [0.950, 0.837, 0.163], [0.550, 0.837, 0.163], [0.750, 0.505, 0.010], [0.750, 0.990, 0.495], [0.050, 0.163, 0.837], [0.950, 0.837, 0.674], [0.966, 0.333, 0.667]]
}

=====

2.
{
  "formula": "Li6Pb",
  "functional": "PBE",
  "state": "relaxed",
  "crystal_system": "cubic",
  "formation_enthalpy_0k_mev_per_atom": 358,
  "lattice": [[-3.498, -1.963, 4.445], [1.140, -4.502, -3.778], [5.146, 2.054, 2.268]],
  "species": ["Pb", "Li", "Li", "Li", "Li", "Li", "Li"],
  "frac_coords": [[0.000, 0.000, 0.000], [0.250, 0.500, 0.750], [0.750, 0.250, 0.500], [0.250, 0.750, 0.500], [0.750, 0.500, 0.250], [0.500, 0.750, 0.250], [0.500, 0.250, 0.750]]
}

=====

3.
{
  "formula": "GaSnF3",
  "functional": "PBE",
  "state": "relaxed",
  "formation_energy_uncorrected_mev_per_atom": -1819,
  "crystal_system": "cubic",
  "lattice": [[-4.199, -0.952, -1.831], [1.111, -4.541, -0.188], [-1.738, -0.604, 4.302]],
  "species": ["F", "Sn", "F", "Ga", "F"],
  "frac_coords": [[0.500, 0.000, 0.000], [0.000, 0.000, 0.000], [0.000, 0.500, 0.000], [0.500, 0.500, 0.500], [0.000, 0.000, 0.500]]
}

=====

4.
{
  "formula": "TbGdRe4",
  "functional": "PBE",
  "state": "relaxed",
  "crystal_system": "cubic",
  "formation_enthalpy_0k_mev_per_atom": -126,
  "lattice": [[-0.720, -3.671, 3.950], [-2.167, -4.853, -1.159], [3.098, -4.469, 0.157]],
  "species": ["Re", "Re", "Re", "Re", "Tb", "Gd"],
  "frac_coords": [[0.625, 0.625, 0.125], [0.625, 0.125, 0.625], [0.625, 0.625, 0.625], [0.125, 0.625, 0.625], [0.000, 0.000, 0.000], [0.250, 0.250, 0.250]]
}

=====

5.
{
  "formula": "Li12ZnCd6",
  "functional": "PBE",
  "state": "relaxed",
  "crystal_system": "trigonal",
  "formation_enthalpy_0k_mev_per_atom": -188,
  "lattice": [[6.878, 0.000, 2.205], [-3.431, 6.457, 2.815], [0.017, 0.000, 7.836]],
  "species": ["Li", "Cd", "Li", "Cd", "Li", "Li", "Li", "Zn", "Li", "Cd", "Li", "Cd", "Li", "Li", "Li", "Cd", "Li", "Li", "Cd"],
  "frac_coords": [[0.469, 0.155, 0.737], [0.948, 0.308, 0.479], [0.744, 0.582, 0.365], [0.428, 0.479, 0.213], [0.891, 0.635, 0.947], [0.838, 0.947, 0.418], [0.256, 0.418, 0.635], [0.000, 0.000, 0.000], [0.205, 0.737, 0.108], [0.052, 0.692, 0.521], [0.314, 0.108, 0.155], [0.572, 0.521, 0.787], [0.686, 0.892, 0.845], [0.795, 0.263, 0.892], [0.531, 0.845, 0.263], [0.641, 0.213, 0.308], [0.109, 0.365, 0.053], [0.162, 0.053, 0.582], [0.359, 0.787, 0.692]]
}

=====

6.
{
  "formula": "BeSeCl",
  "functional": "PBE",
  "state": "relaxed",
  "formation_energy_uncorrected_mev_per_atom": 616,
  "crystal_system": "cubic",
  "lattice": [[-1.118, 2.414, 3.568], [-4.242, 1.182, 0.646], [-2.349, -1.854, 3.294]],
  "species": ["Be", "Cl", "Se"],
  "frac_coords": [[0.000, 0.000, 0.000], [0.500, 0.500, 0.500], [0.250, 0.250, 0.250]]
}

=====

7.
{
  "formula": "ZrAs2Os",
  "functional": "PBE",
  "state": "relaxed",
  "crystal_system": "tetragonal",
  "formation_enthalpy_0k_mev_per_atom": -106,
  "lattice": [[-2.902, -1.620, -3.698], [2.923, -0.989, -3.899], [0.321, -1.450, 4.745]],
  "species": ["Os", "Zr", "As", "As"],
  "frac_coords": [[0.500, 0.500, 0.000], [0.750, 0.250, 0.500], [0.250, 0.750, 0.500], [0.000, 0.000, 0.000]]
}

=====

8.
{
  "formula": "ThCdHg4",
  "functional": "PBE",
  "state": "relaxed",
  "crystal_system": "orthorhombic",
  "formation_enthalpy_0k_mev_per_atom": -136,
  "lattice": [[4.911, 0.000, 0.000], [-2.455, 7.396, -2.795], [0.000, -6.174, 10.613]],
  "species": ["Cd", "Hg", "Th", "Hg", "Hg", "Hg", "Hg", "Hg", "Th", "Hg", "Cd", "Hg"],
  "frac_coords": [[0.500, 0.500, 0.000], [0.000, 0.501, 0.835], [0.250, 0.000, 0.250], [0.500, 0.499, 0.665], [0.000, 0.499, 0.165], [0.250, 0.000, 0.924], [0.250, 0.000, 0.576], [0.750, 0.000, 0.424], [0.750, 0.000, 0.750], [0.500, 0.501, 0.335], [0.000, 0.500, 0.500], [0.750, 0.000, 0.076]]
}

=====

9.
{
  "formula": "Np2Al2Se7",
  "functional": "PBE",
  "state": "relaxed",
  "formation_energy_uncorrected_mev_per_atom": -777,
  "crystal_system": "monoclinic",
  "lattice": [[6.625, -0.195, -0.223], [-0.680, 7.136, -0.354], [-0.680, -1.301, 7.026]],
  "species": ["Se", "Se", "Se", "Np", "Se", "Al", "Np", "Se", "Se", "Al", "Se"],
  "frac_coords": [[0.767, 0.555, 0.923], [0.747, 0.399, 0.399], [0.767, 0.923, 0.555], [0.000, 0.696, 0.304], [0.253, 0.601, 0.601], [0.593, 0.765, 0.765], [0.000, 0.304, 0.696], [0.233, 0.445, 0.077], [0.500, 0.000, 0.000], [0.407, 0.235, 0.235], [0.233, 0.077, 0.445]]
}

=====

10.
{
  "formula": "YZnOs2",
  "functional": "PBE",
  "state": "relaxed",
  "crystal_system": "trigonal",
  "formation_enthalpy_0k_mev_per_atom": 523,
  "lattice": [[8.875, 0.032, 0.019], [8.354, 2.995, 0.019], [8.354, 1.468, 2.610]],
  "species": ["Os", "Zn", "Y", "Os"],
  "frac_coords": [[0.494, 0.494, 0.494], [0.750, 0.750, 0.750], [0.250, 0.250, 0.250], [0.006, 0.006, 0.006]]
}

=====

11.
{
  "formula": "RbReAsSe2",
  "functional": "PBE",
  "state": "relaxed",
  "formation_energy_uncorrected_mev_per_atom": 32,
  "crystal_system": "tetragonal",
  "lattice": [[-3.182, -3.872, 1.234], [4.060, -3.101, 0.738], [0.175, 1.331, 4.627]],
  "species": ["Rb", "As", "Re", "Se", "Se"],
  "frac_coords": [[0.500, 0.500, 0.500], [0.000, 0.000, 0.500], [0.000, 0.000, 0.000], [0.000, 0.500, 0.000], [0.500, 0.000, 0.000]]
}

=====

12.
{
  "formula": "Cd13Rh2",
  "functional": "PBE",
  "state": "relaxed",
  "crystal_system": "triclinic",
  "formation_enthalpy_0k_mev_per_atom": -44,
  "lattice": [[5.302, -0.316, 0.081], [-1.133, 7.870, 0.718], [-0.216, -3.146, 7.209]],
  "species": ["Cd", "Cd", "Rh", "Cd", "Cd", "Cd", "Cd", "Rh", "Cd", "Cd", "Cd", "Cd", "Cd", "Cd", "Cd"],
  "frac_coords": [[0.629, 0.369, 0.554], [0.000, 0.000, 0.000], [0.912, 0.746, 0.647], [0.371, 0.631, 0.446], [0.290, 0.374, 0.056], [0.246, 0.770, 0.148], [0.710, 0.626, 0.944], [0.088, 0.254, 0.353], [0.221, 0.082, 0.617], [0.452, 0.867, 0.801], [0.754, 0.230, 0.852], [0.150, 0.479, 0.727], [0.850, 0.521, 0.273], [0.779, 0.918, 0.383], [0.548, 0.133, 0.199]]
}

=====

| no. | density (g/cm3) | N(E_F) (states/eV/atom) | VASP energy (eV for the cell shown) |
| --- | --- | --- | --- |
| 1 | 10.48 | 0.289 | -79.37 |
| 2 | 2.50 | 0.745 | -12.69 |
| 3 | 3.98 | 0.000 | -21.74 |
| 4 | 15.48 | 1.236 | -69.26 |
| 5 | 3.93 | 0.352 | -33.30 |
| 6 | 3.29 | 0.676 | -7.21 |
| 7 | 10.38 | 0.303 | -29.50 |
| 8 | 12.67 | 0.518 | -20.72 |
| 9 | 5.49 | 1.633 | -66.31 |
| 10 | 13.03 | 0.951 | -28.11 |
| 11 | 6.53 | 0.866 | -24.88 |
| 12 | 8.91 | 0.259 | -27.26 |